The following is a DFT calculation (PBEsol) of TaTe2RhI after structural relaxation.

```
5
Lattice="5.288 0.000 0.000 0.000 5.288 0.000 0.000 0.000 5.387" Properties=species:S:1:pos:R:3 pbc="T T T"
I 0.000 0.000 2.694
Te 0.000 2.644 0.000
Te 2.644 0.000 0.000
Rh 2.644 2.644 2.694
Ta 0.000 0.000 0.000
```

Computed properties:
- density of states at the Fermi level (states/eV per cell) = 9.4
- uncorrected formation energy (eV/atom) = 1.022


The following is a DFT calculation (PBEsol) of WAu after structural relaxation.

```
4
Lattice="2.710 0.000 0.000 -1.355 4.687 -0.006 0.000 -0.639 5.050" Properties=species:S:1:pos:R:3 pbc="T T T"
Au 0.000 0.908 1.904
Au 1.355 3.140 3.140
W 0.000 3.457 0.599
W 1.355 0.591 4.445
```

Computed properties:
- density of states at the Fermi level (states/eV per cell) = 1.9
- energy above the most stable polymorph in this dataset (eV per formula unit) = 0.05
- energy of formation (eV/atom) = 0.353


The following is a DFT calculation (PBEsol) of CsZr2AlP4O16 after structural relaxation.

```
96
Lattice="8.815 0.000 0.000 0.000 9.411 0.000 0.000 0.000 18.083" Properties=species:S:1:pos:R:3 pbc="T T T"
Al 7.031 5.625 13.563
Al 1.785 3.786 4.521
Al 1.785 0.919 13.563
Al 7.031 8.492 4.521
Cs 3.063 7.013 13.563
Cs 5.752 2.398 4.521
Cs 5.752 2.307 13.563
Cs 3.063 7.104 4.521
O 0.962 2.440 13.563
O 7.853 6.971 4.521
O 7.853 7.146 13.563
O 0.962 2.266 4.521
O 8.174 4.302 13.563
O 0.641 5.109 4.521
O 0.641 9.008 13.563
O 8.174 0.404 4.521
O 1.544 4.571 14.799
O 7.271 4.840 5.757
O 7.271 9.277 12.326
O 1.544 0.135 3.285
O 7.271 4.840 3.285
O 1.544 4.571 12.326
O 1.544 0.135 5.757
O 7.271 9.277 14.799
O 0.588 3.194 17.141
O 8.227 6.217 8.100
O 8.227 7.900 9.984
O 0.588 1.512 0.942
O 8.227 6.217 0.942
O 0.588 3.194 9.984
O 0.588 1.512 8.100
O 8.227 7.900 17.141
O 1.177 6.122 17.244
O 7.639 3.290 8.202
O 7.639 1.416 9.881
O 1.177 7.995 0.840
O 7.639 3.290 0.840
O 1.177 6.122 9.881
O 1.177 7.995 8.202
O 7.639 1.416 17.244
O 3.851 5.547 16.204
O 4.964 3.865 7.163
O 4.964 0.841 10.921
O 3.851 8.570 1.879
O 4.964 3.865 1.879
O 3.851 5.547 10.921
O 3.851 8.570 7.163
O 4.964 0.841 16.204
O 6.015 5.224 17.441
O 2.800 4.187 8.399
O 2.800 0.518 9.684
O 6.015 8.893 0.642
O 2.800 4.187 0.642
O 6.015 5.224 9.684
O 6.015 8.893 8.399
O 2.800 0.518 17.441
O 5.514 7.419 16.249
O 3.301 1.992 7.207
O 3.301 2.714 10.876
O 5.514 6.697 1.835
O 3.301 1.992 1.835
O 5.514 7.419 10.876
O 5.514 6.697 7.207
O 3.301 2.714 16.249
O 5.979 5.343 14.930
O 2.836 4.068 5.888
O 2.836 0.638 12.195
O 5.979 8.774 3.154
O 2.836 4.068 3.154
O 5.979 5.343 12.195
O 5.979 8.774 5.888
O 2.836 0.638 14.930
P 0.867 3.975 13.563
P 7.948 5.436 4.521
P 7.948 8.681 13.563
P 0.867 0.730 4.521
P 0.290 7.058 0.000
P 8.526 2.353 9.042
P 8.526 2.353 0.000
P 0.290 7.058 9.042
P 5.348 5.896 16.240
P 3.467 3.515 7.198
P 3.467 1.190 10.886
P 5.348 8.221 1.844
P 3.467 3.515 1.844
P 5.348 5.896 10.886
P 5.348 8.221 7.198
P 3.467 1.190 16.240
Zr 2.196 4.416 16.780
Zr 6.620 4.995 7.739
Zr 6.620 9.122 10.345
Zr 2.196 0.289 1.303
Zr 6.620 4.995 1.303
Zr 2.196 4.416 10.345
Zr 2.196 0.289 7.739
Zr 6.620 9.122 16.780
```

Computed properties:
- density of states at the Fermi level (states/eV per cell) = 0.0
- uncorrected formation energy (eV/atom) = -2.740


The following is a DFT calculation (PBEsol) of Ba2CaBe after structural relaxation.

```
8
Lattice="-0.968 -4.166 4.402 5.635 -5.680 0.143 3.494 1.981 6.922" Properties=species:S:1:pos:R:3 pbc="T T T"
Be -0.484 -2.083 2.201
Be 4.322 -2.891 4.633
Ca 0.000 0.000 0.000
Ca 3.838 -4.974 6.834
Ba 2.218 -1.563 6.496
Ba 6.184 -5.260 3.870
Ba 2.226 -3.585 2.445
Ba 5.692 -5.321 10.122
```

Computed properties:
- density of states at the Fermi level (states/eV per cell) = 10.1
- energy of formation (eV/atom) = 0.484


The following is a DFT calculation (PBEsol) of Sr5V3BrO12 after structural relaxation.

```
42
Lattice="-5.274 -3.710 -3.257 -0.277 -6.568 7.930 -5.953 8.405 0.065" Properties=species:S:1:pos:R:3 pbc="T T T"
Sr -4.078 3.402 2.676
Sr -4.823 -3.444 3.669
Sr -7.426 -5.275 2.061
Sr -6.681 1.571 1.068
Sr -2.910 -0.499 1.275
Sr -1.561 -5.768 5.092
Sr -5.991 -1.246 7.114
Sr -8.594 -1.374 3.463
Sr -9.942 3.895 -0.355
Sr -5.513 -0.627 -2.377
V -1.645 -3.317 2.435
V -3.811 -4.119 6.856
V -5.007 -0.077 4.189
V -9.859 1.444 2.302
V -7.693 2.246 -2.119
V -6.497 -1.795 0.548
Br 0.000 0.000 0.000
Br -2.637 -1.855 -1.629
O -6.447 3.952 1.930
O -4.300 2.208 0.441
O -5.392 1.300 3.244
O -5.057 -5.825 2.807
O -7.204 -4.080 4.296
O -6.112 -3.173 1.493
O -2.289 -3.753 3.976
O -4.344 -2.675 6.075
O -3.829 -1.085 3.430
O -9.215 1.881 0.761
O -7.160 0.802 -1.338
O -7.675 -0.788 1.307
O -0.999 -1.747 2.624
O -2.112 -3.987 6.977
O -4.367 0.320 5.722
O -8.515 1.274 3.341
O -7.402 3.513 -1.012
O -5.148 -0.793 0.244
O -10.504 -0.126 2.113
O -9.391 2.114 -2.240
O -7.137 -2.193 -0.985
O -2.989 -3.147 1.396
O -4.101 -5.386 5.749
O -6.356 -1.080 4.493
```

Computed properties:
- density of states at the Fermi level (states/eV per cell) = 0.0
- uncorrected formation energy (eV/atom) = -2.863


The following is a DFT calculation (PBEsol) of KRe2Sb after structural relaxation.

```
4
Lattice="-1.025 2.837 0.753 -3.290 -2.820 -0.270 1.683 -1.361 7.414" Properties=species:S:1:pos:R:3 pbc="T T T"
K -2.025 0.396 2.170
Re -2.639 -1.143 7.130
Re -0.602 -1.783 5.895
Sb 0.334 0.580 4.683
```

Computed properties:
- density of states at the Fermi level (states/eV per cell) = 3.6
- uncorrected formation energy (eV/atom) = 0.625


The following is a DFT calculation (PBEsol) of Hf9CoW4 after structural relaxation.

```
28
Lattice="-2.487 7.242 3.371 -3.568 2.252 -7.470 -4.602 -4.294 5.830" Properties=species:S:1:pos:R:3 pbc="T T T"
Hf -4.540 -2.548 3.351
Hf -5.953 -1.656 0.394
Hf -2.719 -0.848 1.043
Hf -6.116 7.748 -1.620
Hf -4.703 6.856 1.338
Hf -7.938 6.048 0.688
Hf -5.166 4.983 -2.907
Hf -3.754 4.092 0.051
Hf -6.988 3.283 -0.599
Hf -5.490 0.217 4.638
Hf -6.903 1.109 1.681
Hf -3.668 1.917 2.330
Hf -4.663 1.067 -0.540
Hf -5.994 1.907 -3.327
Hf -2.946 2.668 -2.715
Hf -5.994 4.134 2.271
Hf -4.662 3.294 5.058
Hf -7.710 2.532 4.446
Co -4.879 -0.301 2.240
Co -5.778 5.502 -0.508
W -4.306 3.329 -5.136
W -1.938 1.834 -0.178
W -7.360 0.479 -1.267
W -6.351 1.872 6.867
W -8.719 3.366 1.910
W -3.297 4.721 2.998
W 0.000 0.000 0.000
W -1.243 3.621 1.686
```

Computed properties:
- density of states at the Fermi level (states/eV per cell) = 27.4
- energy of formation (eV/atom) = -0.146


The following is a DFT calculation (PBEsol) of CdGa3Pb after structural relaxation.

```
5
Lattice="-3.142 1.485 4.122 1.173 -4.603 2.552 4.222 2.383 2.359" Properties=species:S:1:pos:R:3 pbc="T T T"
Pb 0.000 0.000 0.000
Ga 0.586 -2.301 1.276
Ga 2.111 1.192 1.179
Ga -1.571 0.742 2.061
Cd 1.126 -0.367 4.516
```

Computed properties:
- density of states at the Fermi level (states/eV per cell) = 2.9
- energy of formation (eV/atom) = 0.713


- What is the density of states at the Fermi level in the seventh record?
  27.4 states/eV per cell